(1)
{
  "formula": "MgTlFeW",
  "functional": "PBE-GGA",
  "state": "relaxed",
  "relative_energy_ev_per_atom": 0.000,
  "rho_g_cm3": 12.0,
  "cell": [[0.000, 3.190, 3.190], [3.190, 0.000, 3.190], [3.190, 3.190, 0.000]],
  "species": ["Mg", "Tl", "Fe", "W"],
  "frac_coords": [[0.000, 0.000, 0.000], [0.250, 0.250, 0.250], [0.500, 0.500, 0.500], [0.750, 0.750, 0.750]]
}

(2)
{
  "formula": "Sc4Si3Mo2C3",
  "functional": "PBE-GGA",
  "state": "relaxed",
  "rho_g_cm3": 4.6,
  "cell": [[4.803, -2.791, 0.000], [4.803, 2.791, 0.000], [-3.196, 0.000, 13.111]],
  "species": ["Sc", "Sc", "Sc", "Sc", "Sc", "Sc", "Sc", "Sc", "Si", "Si", "Si", "Si", "Si", "Si", "Mo", "Mo", "Mo", "Mo", "C", "C", "C", "C", "C", "C"],
  "frac_coords": [[0.039, 0.193, 0.100], [0.125, 0.302, 0.400], [0.193, 0.039, 0.600], [0.302, 0.125, 0.900], [0.698, 0.875, 0.100], [0.807, 0.961, 0.400], [0.875, 0.698, 0.600], [0.961, 0.807, 0.900], [0.156, 0.844, 0.250], [0.322, 0.413, 0.751], [0.413, 0.322, 0.251], [0.587, 0.678, 0.749], [0.678, 0.587, 0.249], [0.844, 0.156, 0.750], [0.350, 0.526, 0.081], [0.474, 0.650, 0.419], [0.526, 0.350, 0.581], [0.650, 0.474, 0.919], [0.000, 0.500, 0.000], [0.179, 0.661, 0.500], [0.339, 0.821, 0.000], [0.500, 0.000, 0.500], [0.661, 0.179, 0.000], [0.821, 0.339, 0.500]]
}

(3)
{
  "formula": "LuCuPbW",
  "functional": "PBE-GGA",
  "state": "relaxed",
  "relative_energy_ev_per_atom": 0.000,
  "rho_g_cm3": 13.2,
  "cell": [[0.000, 3.407, 3.407], [3.407, 0.000, 3.407], [3.407, 3.407, 0.000]],
  "species": ["Lu", "Cu", "Pb", "W"],
  "frac_coords": [[0.000, 0.000, 0.000], [0.750, 0.750, 0.750], [0.500, 0.500, 0.500], [0.250, 0.250, 0.250]]
}

(4)
{
  "formula": "Ag7Au3",
  "functional": "PBE-GGA",
  "state": "relaxed",
  "rho_g_cm3": 12.8,
  "cell": [[7.386, -2.095, 0.000], [7.386, 2.095, 0.000], [-1.341, 0.000, 5.628]],
  "species": ["Ag", "Ag", "Ag", "Ag", "Ag", "Ag", "Ag", "Au", "Au", "Au"],
  "frac_coords": [[0.000, 0.000, 0.000], [0.200, 0.200, 0.601], [0.400, 0.400, 0.197], [0.400, 0.400, 0.697], [0.600, 0.600, 0.303], [0.600, 0.600, 0.803], [0.800, 0.800, 0.399], [0.000, 0.000, 0.500], [0.200, 0.200, 0.102], [0.800, 0.800, 0.898]]
}

Quick rundown of final energy, same order as above: -5.556 -8.173 -5.575 -2.998 eV per atom